A plane-wave DFT calculation with GGA+U was carried out for Mn3NbO after structural relaxation.

a = 4.3035 Å, b = 4.3035 Å, c = 4.3035 Å
α = 90.00°, β = 90.00°, γ = 90.00°
Closest atoms and distances in Å follow each position.
Positions (direct):
1 Nb 0.5000 0.5000 0.5000  12 Mn 3.04
2 Mn 0.0000 0.5000 0.0000  2 O 2.15
3 Mn 0.0000 0.0000 0.5000  2 O 2.15
4 Mn 0.5000 0.0000 0.0000  2 O 2.15
5 O 0.0000 0.0000 0.0000  6 Mn 2.15

## Properties
- energy relative to the lowest polymorph listed for this composition (eV per formula unit) = 0.000
- density (Mg/m³) = 5.7